The following is a DFT calculation (meta-GGA SCAN) of SrTi3Re at its PBEsol-relaxed geometry.

space group = No. 221
E_form = 2.3146 eV per atom
V = 92.16 Å³/f.u.

Cell: 4.5170 4.5170 4.5170 Å, 90.00 90.00 90.00°
Atoms (fractional coordinates):
Sr 0.0000 0.0000 0.0000
Ti 0.0000 0.0000 0.5000
Ti 0.0000 0.5000 0.0000
Ti 0.5000 0.0000 0.0000
Re 0.5000 0.5000 0.5000